(1)
A relaxed CaTc2F11 crystal, computed with PBE.

Lattice parameters (Å, degrees): 8.9622 8.9622 10.4951 90.00 90.00 90.00
Space group I4/mcm (No. 140)
Unique sites:
Ca  0.0000  0.0000  0.2500 (multiplicity 4)
Tc  0.1618  0.3382  0.0000 (multiplicity 8)
F  0.0000  0.5000  0.0000 (multiplicity 4)
F  0.0578  0.2244  0.1298 (multiplicity 32)
F  0.1930  0.3070  0.5000 (multiplicity 8)

=====

(2)
A relaxed CaTcF2 crystal, computed with PBE.

Lattice parameters (Å, degrees): 3.5331 3.5331 18.2934 90.00 90.00 120.00
Space group R-3m (No. 166, hexagonal axes)
Unique sites:
Ca  0.0000  0.0000  0.0000 (multiplicity 3)
Tc  0.0000  0.0000  0.5000 (multiplicity 3)
F  0.0000  0.0000  0.3827 (multiplicity 6)

=====

(3)
A relaxed CaTe3F crystal, computed with PBE.

Lattice parameters (Å, degrees): 5.6758 5.6758 5.6758 90.00 90.00 90.00
Space group Pm-3m (No. 221)
Unique sites:
Ca  0.0000  0.0000  0.0000 (multiplicity 1)
Te  0.0000  0.0000  0.5000 (multiplicity 3)
F  0.5000  0.5000  0.5000 (multiplicity 1)

=====

(4)
A relaxed CaTeF2 crystal, computed with PBE.

Lattice parameters (Å, degrees): 6.7037 6.7037 6.7037 90.00 90.00 90.00
Space group Fm-3m (No. 225)
Unique sites:
Ca  0.0000  0.0000  0.0000 (multiplicity 4)
Te  0.0000  0.0000  0.5000 (multiplicity 4)
F  0.2500  0.2500  0.2500 (multiplicity 8)

=====

(5)
A relaxed CaTe2F crystal, computed with PBE.

Lattice parameters (Å, degrees): 4.2570 4.2570 23.5909 90.00 90.00 90.00
Space group I-42d (No. 122)
Unique sites:
Ca  0.0000  0.0000  0.0000 (multiplicity 4)
Te  0.2502  0.2500  0.1250 (multiplicity 8)
F  0.0000  0.0000  0.5000 (multiplicity 4)

=====

(6)
A relaxed CaTe2F crystal, computed with PBE.

Lattice parameters (Å, degrees): 7.3120 7.3120 7.3120 90.00 90.00 90.00
Space group Fm-3m (No. 225)
Unique sites:
Ca  0.0000  0.0000  0.0000 (multiplicity 4)
Te  0.2500  0.2500  0.2500 (multiplicity 8)
F  0.0000  0.0000  0.5000 (multiplicity 4)

=====

For reference, raw formation energy by record: -3316 -626 16 -669 -521 -345 kJ/mol of formula units.
For reference, total energy by record: -5.55 -5.65 -2.63 -3.96 -3.89 -3.43 eV/atom.